#one
# CaNi4O8 | Alexandria | GGA+U | relaxed
# Size of the total moment, μB per cell: 2.0
# SG: R-3m, No. 166
data_CaNi4O8
_chemical_formula_sum 'Ca1 Ni4 O8'
_cell_length_a 5.714
_cell_length_b 5.714
_cell_length_c 6.494
_cell_angle_alpha 63.90
_cell_angle_beta 63.90
_cell_angle_gamma 60.00
_symmetry_space_group_name_H-M 'P 1'
_symmetry_Int_Tables_number 1
_symmetry_space_group_name_Hall 'P 1'
loop_
_atom_site_label
_atom_site_type_symbol
_atom_site_fract_x
_atom_site_fract_y
_atom_site_fract_z
O1 O 0.762 0.762 0.180
O2 O 0.704 0.238 0.820
O3 O 0.762 0.296 0.180
O4 O 0.238 0.704 0.820
O5 O 0.724 0.724 0.829
O6 O 0.238 0.238 0.820
O7 O 0.296 0.762 0.180
O8 O 0.276 0.276 0.171
Ni1 Ni 0.500 0.000 0.000
Ni2 Ni 0.000 0.000 0.000
Ni3 Ni 0.000 0.500 0.000
Ni4 Ni 0.500 0.500 0.000
Ca1 Ca 0.500 0.500 0.500



#two
# CaNi4O8 | Alexandria | GGA+U | relaxed
# Size of the total moment, μB per cell: 4.0
# DOS(E_F), states/eV/atom: 0.40
# SG: C2/m, No. 12
data_CaNi4O8
_chemical_formula_sum 'Ca1 Ni4 O8'
_cell_length_a 6.336
_cell_length_b 6.336
_cell_length_c 8.875
_cell_angle_alpha 52.80
_cell_angle_beta 52.80
_cell_angle_gamma 27.47
_symmetry_space_group_name_H-M 'P 1'
_symmetry_Int_Tables_number 1
_symmetry_space_group_name_Hall 'P 1'
loop_
_atom_site_label
_atom_site_type_symbol
_atom_site_fract_x
_atom_site_fract_y
_atom_site_fract_z
Ni1 Ni 0.853 0.853 0.792
Ni2 Ni 0.179 0.179 0.142
Ni3 Ni 0.654 0.654 0.503
Ni4 Ni 0.377 0.377 0.430
O1 O 0.898 0.898 0.549
O2 O 0.133 0.133 0.385
O3 O 0.474 0.474 0.726
O4 O 0.823 0.823 0.031
O5 O 0.181 0.181 0.626
O6 O 0.557 0.557 0.207
O7 O 0.209 0.209 0.903
O8 O 0.851 0.851 0.307
Ca1 Ca 0.516 0.516 0.967



Each structure's energy above the most stable one, in meV per atom: #one 0; #two 116.